The following is a DFT calculation (GGA-PBE) of a relaxed structure of P2OsPt.

abc: 3.9523 3.8285 4.1989
angles: 90.00 92.77 90.00
Element x y z (fractional)
P  0.1632  0.0000  0.3028
P  0.8368  0.0000  0.6972
Os  0.0000  0.5000  0.0000
Pt  0.5000  0.5000  0.5000

## Properties
Raw total energy = -27.77 eV/cell